Entry 1:
Entry from Alexandria via LeMat-Bulk: a relaxed K2Tl3CdSn4 crystal (PBE).

## Properties
DOS(E_F), states/eV/atom: 0.445
V, A^3/atom: 33.32
Calculated formation energy, meV per atom: -75

abc: 5.0261 5.0261 13.1906
angles: 90.00 90.00 90.00
With the nearest neighbours (Å) after each atom.
Space group P-4m2 (No. 115)
One atom of each set of equivalent atoms:
K1 0.0000 0.5000 0.2426 [2 per cell]  6 Tl 3.86-4.07, 8 Sn 3.86-4.22, 2 Cd 4.07
Tl1 0.0000 0.0000 0.0000 [1 per cell]  4 Sn 3.02
Tl2 0.0000 0.5000 0.6434 [2 per cell]  5 Sn 3.02-3.15
Cd1 0.5000 0.5000 0.0000 [1 per cell]  4 Sn 3.02
Sn1 0.0000 0.0000 0.5000 [1 per cell]  4 Tl 3.15
Sn2 0.0000 0.5000 0.8724 [2 per cell]  3 Tl 3.02, 2 Cd 3.02
Sn3 0.5000 0.5000 0.5000 [1 per cell]  4 Tl 3.15

=====

Entry 2:
Entry from Alexandria via LeMat-Bulk: a relaxed K2TlCd3Sn4 crystal (PBE).

## Properties
DOS(E_F), states/eV/atom: 0.306
V, A^3/atom: 30.91
Calculated formation energy, meV per atom: -133

abc: 4.9228 4.9228 12.7552
angles: 90.00 90.00 90.00
With the nearest neighbours (Å) after each atom.
Space group P-4m2 (No. 115)
One atom of each set of equivalent atoms:
K1 0.0000 0.5000 0.2501 [2 per cell]  6 Cd 3.76-4.03, 8 Sn 3.76-4.03, 2 Tl 4.03
Tl1 0.0000 0.0000 0.5000 [1 per cell]  4 Sn 3.03
Cd1 0.0000 0.5000 0.8616 [2 per cell]  5 Sn 2.85-3.03
Cd2 0.5000 0.5000 0.5000 [1 per cell]  4 Sn 3.03
Sn1 0.0000 0.0000 0.0000 [1 per cell]  4 Cd 3.03
Sn2 0.0000 0.5000 0.6383 [2 per cell]  3 Cd 2.85-3.03, 2 Tl 3.03
Sn3 0.5000 0.5000 0.0000 [1 per cell]  4 Cd 3.03

=====

Entry 3:
Entry from Alexandria via LeMat-Bulk: a relaxed KTlCdSn2 crystal (PBE).

## Properties
DOS(E_F), states/eV/atom: 0.481
V, A^3/atom: 32.65
Calculated formation energy, meV per atom: -121

abc: 5.1819 5.1819 12.1582
angles: 90.00 90.00 90.00
With the nearest neighbours (Å) after each atom.
Space group I-4m2 (No. 119)
One atom of each set of equivalent atoms:
K1 0.0000 0.0000 0.0000 [2 per cell]  8 Sn 3.93, 4 Cd 3.99, 4 Tl 3.99
Tl1 0.0000 0.5000 0.2500 [2 per cell]  4 Sn 3.05
Cd1 0.0000 0.5000 0.7500 [2 per cell]  4 Sn 3.05
Sn1 0.0000 0.0000 0.3823 [4 per cell]  1 Sn 2.86, 2 Cd 3.05, 2 Tl 3.05

=====

Entry 4:
Entry from Alexandria via LeMat-Bulk: a relaxed K2Tl3Cd4Sn crystal (PBE).

## Properties
DOS(E_F), states/eV/atom: 0.590
V, A^3/atom: 31.76
Calculated formation energy, meV per atom: -57

abc: 5.0228 5.0228 12.5875
angles: 90.00 90.00 90.00
With the nearest neighbours (Å) after each atom.
Space group P-4m2 (No. 115)
One atom of each set of equivalent atoms:
K1 0.0000 0.5000 0.2498 [2 per cell]  8 Cd 3.84-4.03, 6 Tl 3.84-4.02, 2 Sn 4.02
Tl1 0.0000 0.0000 0.0000 [1 per cell]  4 Cd 3.03
Tl2 0.0000 0.5000 0.6338 [2 per cell]  5 Cd 2.92-3.02
Cd1 0.0000 0.0000 0.5000 [1 per cell]  4 Tl 3.02
Cd2 0.0000 0.5000 0.8660 [2 per cell]  3 Tl 2.92-3.03, 2 Sn 3.03
Cd3 0.5000 0.5000 0.5000 [1 per cell]  4 Tl 3.02
Sn1 0.5000 0.5000 0.0000 [1 per cell]  4 Cd 3.03